(1)
CeSmCo: relaxed, PBE.

Calculated values
The formation energy comes out at -0.1342 eV/atom. For the density of states at the Fermi level, the calculation gives 20.3 states/eV/cell. The value obtained for the total magnetization is 0.00 μB per cell. Its calculated total energy is -72.6 eV/cell.

Cell: 11.6263 3.6400 8.4974 Å, 90.00 127.37 90.00°
With the nearest neighbours (Å) after each atom.
Space group Cm (No. 8)
Asymmetric unit:
Ce  0.0000  0.0000  0.0000 x2  2 Co 2.48
Ce  0.1073  0.5000  0.7411 x2  2 Co 2.43
Sm  0.2441  0.0000  0.5384 x2  2 Co 2.85
Sm  0.3543  0.5000  0.2775 x2  4 Co 2.91-3.11
Co  0.0488  0.5000  0.2307 x2  2 Ce 2.48, 1 Co 2.65
Co  0.2648  0.0000  0.9537 x2  2 Ce 2.43, 1 Co 2.65

=====

(2)
TlNO: relaxed, PBE.

Calculated values
For the density of states at the Fermi level, the calculation gives 8.4 states/eV/cell. The value obtained for the total magnetization is 0.00 μB per cell. The formation energy (no corrections) comes out at -0.29 eV/atom. Its calculated total energy is -66.1 eV/cell.

Cell: 6.3093 3.6432 11.3672 Å, 90.00 96.50 90.00°
With the nearest neighbours (Å) after each atom.
Space group C2/m (No. 12)
Asymmetric unit:
Tl  0.0282  0.0000  0.1298 x4  3 O 2.25-2.26
N  0.0332  0.0000  0.4567 x4  1 N 1.11
O  0.1239  0.5000  0.7980 x4  3 Tl 2.25-2.26

=====

(3)
Pm5Nd6Mg: relaxed, PBE.

Calculated values
The formation energy comes out at 0.0104 eV/atom. For the density of states at the Fermi level, the calculation gives 33.3 states/eV/cell. The value obtained for the total magnetization is 0.00 μB per cell. Its calculated total energy is -107.7 eV/cell.

Cell: 5.1565 10.2459 15.4249 Å, 90.00 90.00 90.00°
With the nearest neighbours (Å) after each atom.
Space group Immm (No. 71)
Asymmetric unit:
Pm  0.0000  0.0000  0.0000 x2  4 Pm 3.62, 8 Nd 3.64-3.65
Pm  0.0000  0.0000  0.3312 x4  8 Nd 3.61-3.64, 2 Pm 3.64, 2 Mg 3.66
Pm  0.0000  0.5000  0.3350 x4  4 Pm 3.62-3.64, 8 Nd 3.63-3.66
Nd  0.0000  0.2480  0.5000 x4  2 Mg 3.62, 6 Pm 3.63-3.65, 4 Nd 3.63
Nd  0.0000  0.2533  0.1655 x8  1 Mg 3.59, 7 Pm 3.61-3.66, 4 Nd 3.63-3.67
Mg  0.0000  0.5000  0.0000 x2  8 Nd 3.59-3.62, 4 Pm 3.66

=====

(4)
CoSiPt2: relaxed, PBE.

Calculated values
For the density of states at the Fermi level, the calculation gives 6.5 states/eV/cell. The value obtained for the total magnetization is 3.73 μB per cell. The formation energy (no corrections) comes out at -0.31 eV/atom. Its calculated total energy is -51.7 eV/cell.

Cell: 3.6051 4.0929 7.5503 Å, 90.00 90.00 90.00°
With the nearest neighbours (Å) after each atom.
Space group Immm (No. 71)
Asymmetric unit:
Co  0.0000  0.0000  0.0000 x2  8 Pt 2.64-2.77, 4 Si 2.73
Si  0.0000  0.0000  0.5000 x2  4 Pt 2.46, 4 Co 2.73
Pt  0.0000  0.5000  0.2210 x4  2 Si 2.46, 2 Co 2.64

=====

(5)
RbInSnCl4: relaxed, PBE.

Calculated values
For the density of states at the Fermi level, the calculation gives 0.0 states/eV/cell. The value obtained for the total magnetization is 0.00 μB per cell. The formation energy (no corrections) comes out at -1.20 eV/atom. Its calculated total energy is -47.0 eV/cell.

Cell: 5.5938 5.5938 16.3526 Å, 90.00 90.00 90.00°
With the nearest neighbours (Å) after each atom.
Space group I4mm (No. 107)
Asymmetric unit:
Rb  0.0000  0.0000  0.0000 x2  5 Cl 3.25-3.50
In  0.0000  0.0000  0.7158 x2  1 Cl 2.71
Sn  0.0000  0.0000  0.3617 x2  5 Cl 2.66-2.80
Cl  0.0000  0.0000  0.1988 x2  1 Sn 2.66
Cl  0.0000  0.0000  0.5498 x2  1 In 2.71
Cl  0.0000  0.5000  0.3708 x4  2 Sn 2.80

=====

(6)
Sr2SbRu: relaxed, PBE.

Calculated values
For the density of states at the Fermi level, the calculation gives 6.3 states/eV/cell. The value obtained for the total magnetization is 1.72 μB per cell. The formation energy (no corrections) comes out at 0.01 eV/atom. Its calculated total energy is -33.5 eV/cell.

Cell: 4.9559 4.9559 8.8658 Å, 90.00 90.00 90.00°
With the nearest neighbours (Å) after each atom.
Space group I4/mmm (No. 139)
Asymmetric unit:
Sr  0.0000  0.5000  0.2500 x4  4 Sb 3.32, 4 Ru 3.32, 4 Sr 3.50
Sb  0.0000  0.0000  0.0000 x2  8 Sr 3.32, 4 Ru 3.50
Ru  0.0000  0.0000  0.5000 x2  8 Sr 3.32, 4 Sb 3.50